DFT (PBE with a Hubbard U) results for an optimized crystal structure of MnCoNF2.

ΔE to the lowest computed polymorph	153.9	meV/atom
SG	P4/mmm (123)
N(E_F)	3.42	states/eV/cell
VASP energy	-5.430	eV/atom

a b c (Å): 3.940 3.940 4.036
angles (deg): 90.00 90.00 90.00
Each line ends with the local moment (μB).
Atoms (fractional coordinates):
1 Co 0.500 0.500 0.500  2.60
2 F 0.000 0.500 0.000  0.04
3 F 0.500 0.000 0.000  0.04
4 N 0.000 0.000 0.500  -0.41
5 Mn 0.000 0.000 0.000  4.07